Record 1
A PBEsol-optimized structure of Cu2GeHW. Source: the Alexandria database, functional meta-GGA SCAN.

```
data_Cu2GeHW
_chemical_formula_sum 'Cu2 Ge1 H1 W1'
_cell_length_a 4.704
_cell_length_b 4.704
_cell_length_c 4.859
_cell_angle_alpha 90.00
_cell_angle_beta 90.00
_cell_angle_gamma 90.00
_symmetry_space_group_name_H-M 'P 4/m m m'
_symmetry_Int_Tables_number 123
_symmetry_space_group_name_Hall '-P 4 2'
loop_
_atom_site_label
_atom_site_type_symbol
_atom_site_fract_x
_atom_site_fract_y
_atom_site_fract_z
Cu1 Cu 0.000 0.500 0.000
Ge1 Ge 0.000 0.000 0.500
H1 H 0.500 0.500 0.500
W1 W 0.000 0.000 0.000
```

=====

Record 2
A PBEsol-optimized structure of HfCuGe3. Source: the Alexandria database, functional meta-GGA SCAN.

```
data_HfCuGe3
_chemical_formula_sum 'Hf1 Cu1 Ge3'
_cell_length_a 5.056
_cell_length_b 5.056
_cell_length_c 5.056
_cell_angle_alpha 90.00
_cell_angle_beta 90.00
_cell_angle_gamma 90.00
_symmetry_space_group_name_H-M 'P m -3 m'
_symmetry_Int_Tables_number 221
_symmetry_space_group_name_Hall '-P 4 2 3'
loop_
_atom_site_label
_atom_site_type_symbol
_atom_site_fract_x
_atom_site_fract_y
_atom_site_fract_z
Hf1 Hf 0.000 0.000 0.000
Cu1 Cu 0.500 0.500 0.500
Ge1 Ge 0.000 0.000 0.500
```

Summary:
* E_form: 0.90 eV/atom

=====

Record 3
A PBEsol-optimized structure of CuHgGe2Sb. Source: the Alexandria database, functional meta-GGA SCAN.

```
data_CuHgGe2Sb
_chemical_formula_sum 'Cu1 Hg1 Ge2 Sb1'
_cell_length_a 5.014
_cell_length_b 5.014
_cell_length_c 5.580
_cell_angle_alpha 90.00
_cell_angle_beta 90.00
_cell_angle_gamma 90.00
_symmetry_space_group_name_H-M 'P 4/m m m'
_symmetry_Int_Tables_number 123
_symmetry_space_group_name_Hall '-P 4 2'
loop_
_atom_site_label
_atom_site_type_symbol
_atom_site_fract_x
_atom_site_fract_y
_atom_site_fract_z
Cu1 Cu 0.000 0.000 0.000
Hg1 Hg 0.500 0.500 0.500
Ge1 Ge 0.000 0.500 0.500
Sb1 Sb 0.500 0.500 0.000
```

Summary:
* E_form (uncorrected): 6.140 eV/f.u.

=====

Record 4
A PBEsol-optimized structure of HoCu2Ge2. Source: the Alexandria database, functional meta-GGA SCAN.

```
data_HoCu2Ge2
_chemical_formula_sum 'Ho2 Cu4 Ge4'
_cell_length_a 3.971
_cell_length_b 3.971
_cell_length_c 10.205
_cell_angle_alpha 90.00
_cell_angle_beta 90.00
_cell_angle_gamma 90.00
_symmetry_space_group_name_H-M 'I 4/m m m'
_symmetry_Int_Tables_number 139
_symmetry_space_group_name_Hall '-I 4 2'
loop_
_atom_site_label
_atom_site_type_symbol
_atom_site_fract_x
_atom_site_fract_y
_atom_site_fract_z
Ho1 Ho 0.000 0.000 0.000
Cu1 Cu 0.000 0.500 0.250
Ge1 Ge 0.000 0.000 0.381
```

Summary:
* E_form: -0.58 eV/atom

=====

Record 5
A PBEsol-optimized structure of Ho3Cu4Ge4. Source: the Alexandria database, functional meta-GGA SCAN.

```
data_Ho3Cu4Ge4
_chemical_formula_sum 'Ho6 Cu8 Ge8'
_cell_length_a 4.125
_cell_length_b 6.534
_cell_length_c 13.665
_cell_angle_alpha 90.00
_cell_angle_beta 90.00
_cell_angle_gamma 90.00
_symmetry_space_group_name_H-M 'I m m m'
_symmetry_Int_Tables_number 71
_symmetry_space_group_name_Hall '-I 2 2'
loop_
_atom_site_label
_atom_site_type_symbol
_atom_site_fract_x
_atom_site_fract_y
_atom_site_fract_z
Ho1 Ho 0.000 0.000 0.000
Ho2 Ho 0.000 0.500 0.130
Cu1 Cu 0.000 0.310 0.331
Ge1 Ge 0.000 0.000 0.217
Ge2 Ge 0.000 0.192 0.500
```

Summary:
* E_form: -0.72 eV/atom

=====

Record 6
A PBEsol-optimized structure of Ho2CuGe2O8. Source: the Alexandria database, functional meta-GGA SCAN.

```
data_Ho2CuGe2O8
_chemical_formula_sum 'Ho8 Cu4 Ge8 O32'
_cell_length_a 9.402
_cell_length_b 14.886
_cell_length_c 5.062
_cell_angle_alpha 90.00
_cell_angle_beta 121.96
_cell_angle_gamma 90.00
_symmetry_space_group_name_H-M 'C 1 m 1'
_symmetry_Int_Tables_number 8
_symmetry_space_group_name_Hall 'C -2y'
loop_
_atom_site_label
_atom_site_type_symbol
_atom_site_fract_x
_atom_site_fract_y
_atom_site_fract_z
Ho1 Ho 0.000 0.119 0.000
Ho2 Ho 0.001 0.380 0.493
Cu1 Cu 0.204 0.293 0.187
Ge1 Ge 0.244 0.500 0.201
Ge2 Ge 0.246 0.000 0.785
Ge3 Ge 0.258 0.211 0.733
O1 O 0.069 0.000 0.820
O2 O 0.075 0.500 0.807
O3 O 0.079 0.242 0.361
O4 O 0.239 0.406 0.412
O5 O 0.246 0.093 0.559
O6 O 0.248 0.168 0.056
O7 O 0.254 0.329 0.891
O8 O 0.419 0.000 0.170
O9 O 0.420 0.500 0.161
O10 O 0.443 0.236 0.739
```

Summary:
* E_form (uncorrected): -33.122 eV/f.u.

=====

Record 7
A PBEsol-optimized structure of Ho2CuGe4O12. Source: the Alexandria database, functional meta-GGA SCAN.

```
data_Ho2CuGe4O12
_chemical_formula_sum 'Ho2 Cu1 Ge4 O12'
_cell_length_a 4.920
_cell_length_b 7.135
_cell_length_c 7.824
_cell_angle_alpha 66.81
_cell_angle_beta 87.57
_cell_angle_gamma 77.73
_symmetry_space_group_name_H-M 'P -1'
_symmetry_Int_Tables_number 2
_symmetry_space_group_name_Hall '-P 1'
loop_
_atom_site_label
_atom_site_type_symbol
_atom_site_fract_x
_atom_site_fract_y
_atom_site_fract_z
Ho1 Ho 0.050 0.268 0.454
Cu1 Cu 0.000 0.500 0.000
Ge1 Ge 0.419 0.880 0.794
Ge2 Ge 0.463 0.663 0.225
O1 O 0.219 0.923 0.599
O2 O 0.227 0.564 0.392
O3 O 0.249 0.515 0.797
O4 O 0.250 0.273 0.193
O5 O 0.264 0.804 0.011
O6 O 0.403 0.158 0.712
```

Summary:
* E_form (uncorrected): -43.635 eV/f.u.

=====

Record 8
A PBEsol-optimized structure of Ho3CuGeS7. Source: the Alexandria database, functional meta-GGA SCAN.

```
data_Ho3CuGeS7
_chemical_formula_sum 'Ho6 Cu2 Ge2 S14'
_cell_length_a 9.7049
_cell_length_b 9.7049
_cell_length_c 5.6665
_cell_angle_alpha 90.00
_cell_angle_beta 90.00
_cell_angle_gamma 120.00
_symmetry_space_group_name_H-M 'P 63'
_symmetry_Int_Tables_number 173
_symmetry_space_group_name_Hall 'P 6c'
loop_
_atom_site_label
_atom_site_type_symbol
_atom_site_fract_x
_atom_site_fract_y
_atom_site_fract_z
Ho1 Ho 0.1321 0.7750 0.0000
Cu1 Cu 0.0000 0.0000 0.0457
Ge1 Ge 0.3333 0.6667 0.4186
S1 S 0.0950 0.5173 0.2548
S2 S 0.0988 0.8382 0.5277
S3 S 0.3333 0.6667 0.8035
```

Summary:
* E_form (uncorrected): -19.499 eV/f.u.

=====

Record 9
A PBEsol-optimized structure of CuGeI2. Source: the Alexandria database, functional meta-GGA SCAN.

```
data_CuGeI2
_chemical_formula_sum 'Cu4 Ge4 I8'
_cell_length_a 7.230
_cell_length_b 7.230
_cell_length_c 7.230
_cell_angle_alpha 90.00
_cell_angle_beta 90.00
_cell_angle_gamma 90.00
_symmetry_space_group_name_H-M 'F m -3 m'
_symmetry_Int_Tables_number 225
_symmetry_space_group_name_Hall '-F 4 2 3'
loop_
_atom_site_label
_atom_site_type_symbol
_atom_site_fract_x
_atom_site_fract_y
_atom_site_fract_z
Cu1 Cu 0.000 0.000 0.000
Ge1 Ge 0.000 0.000 0.500
I1 I 0.250 0.250 0.250
```

Summary:
* E_form (uncorrected): 2.348 eV/f.u.

=====

Record 10
A PBEsol-optimized structure of InCuGe3. Source: the Alexandria database, functional meta-GGA SCAN.

```
data_InCuGe3
_chemical_formula_sum 'In1 Cu1 Ge3'
_cell_length_a 4.701
_cell_length_b 4.701
_cell_length_c 4.701
_cell_angle_alpha 90.00
_cell_angle_beta 90.00
_cell_angle_gamma 90.00
_symmetry_space_group_name_H-M 'P m -3 m'
_symmetry_Int_Tables_number 221
_symmetry_space_group_name_Hall '-P 4 2 3'
loop_
_atom_site_label
_atom_site_type_symbol
_atom_site_fract_x
_atom_site_fract_y
_atom_site_fract_z
In1 In 0.000 0.000 0.000
Cu1 Cu 0.500 0.500 0.500
Ge1 Ge 0.000 0.500 0.500
```

Summary:
* E_form: 0.44 eV/atom

=====

Record 11
A PBEsol-optimized structure of In2CuGe2. Source: the Alexandria database, functional meta-GGA SCAN.

```
data_In2CuGe2
_chemical_formula_sum 'In4 Cu2 Ge4'
_cell_length_a 3.549
_cell_length_b 3.549
_cell_length_c 16.277
_cell_angle_alpha 90.00
_cell_angle_beta 90.00
_cell_angle_gamma 90.00
_symmetry_space_group_name_H-M 'I 4/m m m'
_symmetry_Int_Tables_number 139
_symmetry_space_group_name_Hall '-I 4 2'
loop_
_atom_site_label
_atom_site_type_symbol
_atom_site_fract_x
_atom_site_fract_y
_atom_site_fract_z
In1 In 0.000 0.000 0.092
Cu1 Cu 0.000 0.000 0.500
Ge1 Ge 0.000 0.500 0.250
```

Summary:
* E_form: 0.33 eV/atom

=====

Record 12
A PBEsol-optimized structure of In3CuGe. Source: the Alexandria database, functional meta-GGA SCAN.

```
data_In3CuGe
_chemical_formula_sum 'In3 Cu1 Ge1'
_cell_length_a 4.947
_cell_length_b 4.947
_cell_length_c 4.947
_cell_angle_alpha 90.00
_cell_angle_beta 90.00
_cell_angle_gamma 90.00
_symmetry_space_group_name_H-M 'P m -3 m'
_symmetry_Int_Tables_number 221
_symmetry_space_group_name_Hall '-P 4 2 3'
loop_
_atom_site_label
_atom_site_type_symbol
_atom_site_fract_x
_atom_site_fract_y
_atom_site_fract_z
In1 In 0.000 0.000 0.500
Cu1 Cu 0.000 0.000 0.000
Ge1 Ge 0.500 0.500 0.500
```

Summary:
* E_form: 0.38 eV/atom

=====

Record 13
A PBEsol-optimized structure of InCuGeSe4. Source: the Alexandria database, functional meta-GGA SCAN.

```
data_InCuGeSe4
_chemical_formula_sum 'In2 Cu2 Ge2 Se8'
_cell_length_a 5.705
_cell_length_b 5.705
_cell_length_c 10.658
_cell_angle_alpha 90.00
_cell_angle_beta 90.00
_cell_angle_gamma 90.00
_symmetry_space_group_name_H-M 'I -4'
_symmetry_Int_Tables_number 82
_symmetry_space_group_name_Hall 'I -4'
loop_
_atom_site_label
_atom_site_type_symbol
_atom_site_fract_x
_atom_site_fract_y
_atom_site_fract_z
In1 In 0.000 0.000 0.000
Cu1 Cu 0.000 0.000 0.500
Ge1 Ge 0.000 0.500 0.750
Se1 Se 0.226 0.240 0.362
```

Summary:
* E_form (uncorrected): -2.875 eV/f.u.

=====

Record 14
A PBEsol-optimized structure of CuGe3Ir. Source: the Alexandria database, functional meta-GGA SCAN.

```
data_CuGe3Ir
_chemical_formula_sum 'Cu1 Ge3 Ir1'
_cell_length_a 4.466
_cell_length_b 4.466
_cell_length_c 4.466
_cell_angle_alpha 90.00
_cell_angle_beta 90.00
_cell_angle_gamma 90.00
_symmetry_space_group_name_H-M 'P m -3 m'
_symmetry_Int_Tables_number 221
_symmetry_space_group_name_Hall '-P 4 2 3'
loop_
_atom_site_label
_atom_site_type_symbol
_atom_site_fract_x
_atom_site_fract_y
_atom_site_fract_z
Cu1 Cu 0.000 0.000 0.000
Ge1 Ge 0.000 0.000 0.500
Ir1 Ir 0.500 0.500 0.500
```

Summary:
* E_form: 0.96 eV/atom

=====

Record 15
A PBEsol-optimized structure of LaCuGe3. Source: the Alexandria database, functional meta-GGA SCAN.

```
data_LaCuGe3
_chemical_formula_sum 'La1 Cu1 Ge3'
_cell_length_a 4.700
_cell_length_b 4.700
_cell_length_c 4.700
_cell_angle_alpha 90.00
_cell_angle_beta 90.00
_cell_angle_gamma 90.00
_symmetry_space_group_name_H-M 'P m -3 m'
_symmetry_Int_Tables_number 221
_symmetry_space_group_name_Hall '-P 4 2 3'
loop_
_atom_site_label
_atom_site_type_symbol
_atom_site_fract_x
_atom_site_fract_y
_atom_site_fract_z
La1 La 0.000 0.000 0.000
Cu1 Cu 0.500 0.500 0.500
Ge1 Ge 0.000 0.500 0.500
```

Summary:
* E_form: -0.16 eV/atom

=====

Record 16
A PBEsol-optimized structure of LaCuGe. Source: the Alexandria database, functional meta-GGA SCAN.

```
data_LaCuGe
_chemical_formula_sum 'La1 Cu1 Ge1'
_cell_length_a 4.1976
_cell_length_b 4.1976
_cell_length_c 4.1675
_cell_angle_alpha 90.00
_cell_angle_beta 90.00
_cell_angle_gamma 120.00
_symmetry_space_group_name_H-M 'P -6 m 2'
_symmetry_Int_Tables_number 187
_symmetry_space_group_name_Hall 'P -6 2'
loop_
_atom_site_label
_atom_site_type_symbol
_atom_site_fract_x
_atom_site_fract_y
_atom_site_fract_z
La1 La 0.0000 0.0000 0.0000
Cu1 Cu 0.6667 0.3333 0.5000
Ge1 Ge 0.3333 0.6667 0.5000
```

Summary:
* E_form: -0.74 eV/atom

=====

Record 17
A PBEsol-optimized structure of La5CuGe3. Source: the Alexandria database, functional meta-GGA SCAN.

```
data_La5CuGe3
_chemical_formula_sum 'La10 Cu2 Ge6'
_cell_length_a 9.1390
_cell_length_b 9.1390
_cell_length_c 6.5654
_cell_angle_alpha 90.00
_cell_angle_beta 90.00
_cell_angle_gamma 120.00
_symmetry_space_group_name_H-M 'P 63/m c m'
_symmetry_Int_Tables_number 193
_symmetry_space_group_name_Hall '-P 6c 2'
loop_
_atom_site_label
_atom_site_type_symbol
_atom_site_fract_x
_atom_site_fract_y
_atom_site_fract_z
La1 La 0.0000 0.2735 0.2500
La2 La 0.3333 0.6667 0.0000
Cu1 Cu 0.0000 0.0000 0.0000
Ge1 Ge 0.0000 0.3771 0.7500
```

Summary:
* E_form: -0.67 eV/atom

=====

Record 18
A PBEsol-optimized structure of LaCu2Ge2. Source: the Alexandria database, functional meta-GGA SCAN.

```
data_LaCu2Ge2
_chemical_formula_sum 'La2 Cu4 Ge4'
_cell_length_a 4.180
_cell_length_b 4.180
_cell_length_c 10.032
_cell_angle_alpha 90.00
_cell_angle_beta 90.00
_cell_angle_gamma 90.00
_symmetry_space_group_name_H-M 'I 4/m m m'
_symmetry_Int_Tables_number 139
_symmetry_space_group_name_Hall '-I 4 2'
loop_
_atom_site_label
_atom_site_type_symbol
_atom_site_fract_x
_atom_site_fract_y
_atom_site_fract_z
La1 La 0.000 0.000 0.000
Cu1 Cu 0.000 0.500 0.250
Ge1 Ge 0.000 0.000 0.374
```

Summary:
* E_form: -0.65 eV/atom

=====

Record 19
A PBEsol-optimized structure of LaMnCuGe2. Source: the Alexandria database, functional meta-GGA SCAN.

```
data_LaMnCuGe2
_chemical_formula_sum 'La2 Mn2 Cu2 Ge4'
_cell_length_a 4.163
_cell_length_b 4.163
_cell_length_c 10.382
_cell_angle_alpha 90.00
_cell_angle_beta 90.00
_cell_angle_gamma 90.00
_symmetry_space_group_name_H-M 'I -4 m 2'
_symmetry_Int_Tables_number 119
_symmetry_space_group_name_Hall 'I -4 -2'
loop_
_atom_site_label
_atom_site_type_symbol
_atom_site_fract_x
_atom_site_fract_y
_atom_site_fract_z
La1 La 0.000 0.000 0.000
Mn1 Mn 0.000 0.500 0.250
Cu1 Cu 0.000 0.500 0.750
Ge1 Ge 0.000 0.000 0.376
```

Summary:
* E_form: -0.68 eV/atom

=====

Record 20
A PBEsol-optimized structure of LiCu2Ge2. Source: the Alexandria database, functional meta-GGA SCAN.

```
data_LiCu2Ge2
_chemical_formula_sum 'Li2 Cu4 Ge4'
_cell_length_a 4.087
_cell_length_b 4.087
_cell_length_c 9.933
_cell_angle_alpha 90.00
_cell_angle_beta 90.00
_cell_angle_gamma 90.00
_symmetry_space_group_name_H-M 'I 4/m m m'
_symmetry_Int_Tables_number 139
_symmetry_space_group_name_Hall '-I 4 2'
loop_
_atom_site_label
_atom_site_type_symbol
_atom_site_fract_x
_atom_site_fract_y
_atom_site_fract_z
Li1 Li 0.000 0.000 0.000
Cu1 Cu 0.000 0.000 0.382
Ge1 Ge 0.000 0.500 0.250
```

Summary:
* E_form: 0.06 eV/atom
* relative energy among the computed polymorphs: 0.150 eV/atom

=====

| no. | E (eV/cell) |
| --- | --- |
| 1 | -113.35 |
| 2 | -130.62 |
| 3 | -152.66 |
| 4 | -240.96 |
| 5 | -584.12 |
| 6 | -937.29 |
| 7 | -307.93 |
| 8 | -536.29 |
| 9 | -421.69 |
| 10 | -103.65 |
| 11 | -236.96 |
| 12 | -132.54 |
| 13 | -301.72 |
| 14 | -138.78 |
| 15 | -116.36 |
| 16 | -79.61 |
| 17 | -588.05 |
| 18 | -229.87 |
| 19 | -236.31 |
| 20 | -141.36 |